Sc4Ag: relaxed, GGA-PBE.

a b c (Å): 11.0141 3.2632 3.2632
angles (deg): 90.00 98.52 81.48
Fractional coordinates of all 5 atoms:
Sc 0.8236 0.5882 0.4118
Ag 0.0000 0.0000 0.0000
Sc 0.3934 0.8033 0.1967
Sc 0.1764 0.4118 0.5882
Sc 0.6066 0.1967 0.8033

Output
Energy above the most stable polymorph in this dataset ... 0.04 eV/f.u.
ΔE_f ... -6 kJ per mole of atoms